Record 1
A plane-wave DFT calculation with PBE-GGA was carried out for PrTmW2C3 after structural relaxation.

Cell lengths 6.2494, 6.2494, 5.8015 Å; angles 112.82, 112.82, 31.17 degrees
Closest atoms and distances in Å follow each position.
Sites, in units of the cell vectors:
Pr (0.0000, 0.0000, 0.0000)  5 C 2.55-2.69
Tm (0.2179, 0.2179, 0.6348)  5 C 2.41-2.55
W (0.4468, 0.4468, 0.4816)  4 C 2.05-2.16
W (0.7610, 0.7610, 0.1297)  4 C 2.08-2.17
C (0.3514, 0.3514, 0.0762)  3 W 2.09-2.16
C (0.6082, 0.6082, 0.7922)  2 W 2.05-2.08
C (0.8524, 0.8524, 0.5374)  3 W 2.12-2.17

For the total energy, the calculation gives -64.58 eV per cell. The symmetry is No. 8.

Record 2
A plane-wave DFT calculation with PBE-GGA was carried out for PrYW2C3 after structural relaxation.

Cell lengths 6.2930, 6.2930, 5.8429 Å; angles 113.29, 113.29, 31.11 degrees
Closest atoms and distances in Å follow each position.
Sites, in units of the cell vectors:
Pr (0.0000, 0.0000, 0.0000)  5 C 2.56-2.69
Y (0.2170, 0.2170, 0.6308)  5 C 2.46-2.59
W (0.4474, 0.4474, 0.4833)  4 C 2.05-2.16
W (0.7622, 0.7622, 0.1299)  4 C 2.07-2.17
C (0.3524, 0.3524, 0.0793)  3 W 2.10-2.16
C (0.6078, 0.6078, 0.7971)  2 W 2.05-2.07
C (0.8547, 0.8547, 0.5361)  3 W 2.12-2.17

For the total energy, the calculation gives -66.49 eV per cell. The symmetry is No. 8.

Record 3
A plane-wave DFT calculation with PBE-GGA was carried out for PrYC2 after structural relaxation.

Cell lengths 4.8461, 4.2149, 4.2149 Å; angles 99.08, 90.00, 90.00 degrees
Closest atoms and distances in Å follow each position.
Sites, in units of the cell vectors:
Pr (0.0000, 0.0000, 0.0000)  6 C 2.55-2.82
Y (0.5000, 0.4989, 0.4989)  4 C 2.51
C (0.0000, 0.3971, 0.6033)  1 C 1.32
C (0.0000, 0.6033, 0.3971)  1 C 1.32

For the total energy, the calculation gives -29.99 eV per cell. The symmetry is No. 38.

Record 4
A plane-wave DFT calculation with PBE-GGA was carried out for PrZrC2 after structural relaxation.

Cell lengths 3.5538, 3.5538, 5.0280 Å; angles 90.00, 90.00, 90.00 degrees
Closest atoms and distances in Å follow each position.
Sites, in units of the cell vectors:
Pr (0.0000, 0.0000, 0.0000)  6 C 2.51
Zr (0.5000, 0.5000, 0.5000)  6 C 2.51
C (0.0000, 0.0000, 0.5000)  4 Zr 2.51, 2 Pr 2.51
C (0.5000, 0.5000, 0.0000)  4 Pr 2.51, 2 Zr 2.51

For the total energy, the calculation gives -31.87 eV per cell. The symmetry is No. 123.

Record 5
A plane-wave DFT calculation with PBE-GGA was carried out for PtC after structural relaxation.

Cell lengths 3.1627, 3.1627, 3.1627 Å; angles 60.00, 60.00, 60.00 degrees
Closest atoms and distances in Å follow each position.
Sites, in units of the cell vectors:
Pt (0.0000, 0.0000, 0.0000)  6 C 2.24
C (0.5000, 0.5000, 0.5000)  6 Pt 2.24

For the total energy, the calculation gives -12.32 eV per cell. The calculation puts the energy above the most stable polymorph in this dataset at 575 meV per atom. The symmetry is No. 225.

Record 6
A plane-wave DFT calculation with PBE-GGA was carried out for PtC8 after structural relaxation.

Cell lengths 4.9655, 4.9655, 4.3656 Å; angles 90.00, 90.00, 120.00 degrees
Closest atoms and distances in Å follow each position.
Sites, in units of the cell vectors:
Pt (0.0000, 0.0000, 0.0000)  12 C 2.62
C (0.1679, 0.3358, 0.5000)  3 C 1.42-1.44
C (0.1679, 0.8321, 0.5000)  3 C 1.42-1.44
C (0.3333, 0.6667, 0.5000)  3 C 1.42
C (0.3358, 0.1679, 0.5000)  3 C 1.42-1.44
C (0.6642, 0.8321, 0.5000)  3 C 1.42-1.44
C (0.6667, 0.3333, 0.5000)  3 C 1.42
C (0.8321, 0.1679, 0.5000)  3 C 1.42-1.44
C (0.8321, 0.6642, 0.5000)  3 C 1.42-1.44

For the total energy, the calculation gives -75.68 eV per cell. The calculation puts the energy above the most stable polymorph in this dataset at 32 meV per atom. The symmetry is No. 191.

Record 7
A plane-wave DFT calculation with PBE-GGA was carried out for Pt5C after structural relaxation.

Cell lengths 5.1823, 5.1823, 4.5217 Å; angles 90.00, 90.00, 120.00 degrees
Closest atoms and distances in Å follow each position.
Sites, in units of the cell vectors:
Pt (0.0000, 0.5000, 0.0000)  8 Pt 2.59-2.71
Pt (0.3333, 0.6667, 0.5000)  9 Pt 2.71-2.99, 3 C 2.99
Pt (0.5000, 0.0000, 0.0000)  8 Pt 2.59-2.71
Pt (0.5000, 0.5000, 0.0000)  8 Pt 2.59-2.71
Pt (0.6667, 0.3333, 0.5000)  9 Pt 2.71-2.99, 3 C 2.99
C (0.0000, 0.0000, 0.5000)  6 Pt 2.99

For the total energy, the calculation gives -31.63 eV per cell. The symmetry is No. 191.

Record 8
A plane-wave DFT calculation with PBE-GGA was carried out for Pt14C after structural relaxation.

Cell lengths 6.4228, 6.4228, 6.4228 Å; angles 79.11, 79.11, 79.11 degrees
Closest atoms and distances in Å follow each position.
Sites, in units of the cell vectors:
Pt (0.1414, 0.1414, 0.1414)  1 C 1.85
Pt (0.1770, 0.5000, 0.8230)  9 Pt 2.64-2.90
Pt (0.1770, 0.8230, 0.5000)  9 Pt 2.64-2.90
Pt (0.2223, 0.2223, 0.5508)  7 Pt 2.67-2.93
Pt (0.2223, 0.5508, 0.2223)  7 Pt 2.67-2.93
Pt (0.4492, 0.7777, 0.7777)  7 Pt 2.67-2.93
Pt (0.5000, 0.1770, 0.8230)  9 Pt 2.64-2.90
Pt (0.5000, 0.8230, 0.1770)  9 Pt 2.64-2.90
Pt (0.5508, 0.2223, 0.2223)  7 Pt 2.67-2.93
Pt (0.7777, 0.4492, 0.7777)  7 Pt 2.67-2.93
Pt (0.7777, 0.7777, 0.4492)  7 Pt 2.67-2.93
Pt (0.8230, 0.1770, 0.5000)  9 Pt 2.64-2.90
Pt (0.8230, 0.5000, 0.1770)  9 Pt 2.64-2.90
Pt (0.8586, 0.8586, 0.8586)  1 C 1.85
C (0.0000, 0.0000, 0.0000)  2 Pt 1.85

For the total energy, the calculation gives -88.10 eV per cell. The symmetry is No. 166.

Record 9
A plane-wave DFT calculation with PBE-GGA was carried out for PtC after structural relaxation.

Cell lengths 2.8118, 2.8118, 2.8118 Å; angles 90.00, 90.00, 90.00 degrees
Closest atoms and distances in Å follow each position.
Sites, in units of the cell vectors:
Pt (0.0000, 0.0000, 0.0000)  8 C 2.44
C (0.5000, 0.5000, 0.5000)  8 Pt 2.44

For the total energy, the calculation gives -11.29 eV per cell. The calculation puts the energy above the most stable polymorph in this dataset at 1093 meV per atom. The symmetry is No. 221.

Record 10
A plane-wave DFT calculation with PBE-GGA was carried out for PtC8 after structural relaxation.

Cell lengths 9.5894, 8.9215, 4.9698 Å; angles 82.00, 67.12, 30.88 degrees
Closest atoms and distances in Å follow each position.
Sites, in units of the cell vectors:
Pt (0.1250, 0.1250, 0.1250)  12 C 2.54-2.59
Pt (0.8750, 0.8750, 0.8750)  12 C 2.54-2.59
C (0.0804, 0.4140, 0.3361)  3 C 1.43-1.44
C (0.0835, 0.4147, 0.8334)  3 C 1.43-1.44
C (0.1666, 0.8316, 0.9165)  3 C 1.43-1.44
C (0.1684, 0.8334, 0.4147)  3 C 1.43-1.44
C (0.3304, 0.6639, 0.5860)  3 C 1.43-1.44
C (0.3361, 0.6696, 0.0804)  3 C 1.43-1.44
C (0.4140, 0.0804, 0.6696)  3 C 1.43-1.44
C (0.4147, 0.0835, 0.1684)  3 C 1.43-1.44
C (0.5853, 0.9165, 0.8316)  3 C 1.43-1.44
C (0.5860, 0.9196, 0.3304)  3 C 1.43-1.44
C (0.6639, 0.3304, 0.9196)  3 C 1.43-1.44
C (0.6696, 0.3361, 0.4140)  3 C 1.43-1.44
C (0.8316, 0.1666, 0.5853)  3 C 1.43-1.44
C (0.8334, 0.1684, 0.0835)  3 C 1.43-1.44
C (0.9165, 0.5853, 0.1666)  3 C 1.43-1.44
C (0.9196, 0.5860, 0.6639)  3 C 1.43-1.44

For the total energy, the calculation gives -151.93 eV per cell. The calculation puts the energy above the most stable polymorph in this dataset at 0 meV per atom. The symmetry is No. 70.

Record 11
A plane-wave DFT calculation with PBE-GGA was carried out for PtC after structural relaxation.

Cell lengths 3.3401, 3.3401, 3.3401 Å; angles 60.00, 60.00, 60.00 degrees
Closest atoms and distances in Å follow each position.
Sites, in units of the cell vectors:
Pt (0.0000, 0.0000, 0.0000)  4 C 2.05
C (0.2500, 0.2500, 0.2500)  4 Pt 2.05

For the total energy, the calculation gives -13.47 eV per cell. The calculation puts the energy above the most stable polymorph in this dataset at 0 meV per atom. The symmetry is No. 216.

Record 12
A plane-wave DFT calculation with PBE-GGA was carried out for Rb2PtC2 after structural relaxation.

Cell lengths 5.4245, 5.4245, 5.2434 Å; angles 90.00, 90.00, 120.00 degrees
Closest atoms and distances in Å follow each position.
Sites, in units of the cell vectors:
Rb (0.0000, 0.0000, 0.0000)  3 C 3.18, 3 Pt 3.45
Rb (0.3333, 0.6667, 0.5512)  3 C 3.18, 3 Pt 3.45
Pt (0.6667, 0.3333, 0.2745)  2 C 1.98
C (0.6667, 0.3333, 0.6529)  1 C 1.28
C (0.6667, 0.3333, 0.8961)  1 C 1.28

For the total energy, the calculation gives -26.77 eV per cell. The symmetry is No. 156.

Record 13
A plane-wave DFT calculation with PBE-GGA was carried out for Pt2CSeS after structural relaxation.

Cell lengths 3.4587, 3.4587, 8.8512 Å; angles 90.00, 90.00, 120.00 degrees
Closest atoms and distances in Å follow each position.
Sites, in units of the cell vectors:
Pt (0.0000, 0.0000, 0.0000)  3 C 2.32, 3 Se 2.50
Pt (0.3333, 0.6667, 0.2568)  3 C 2.28, 3 S 2.39
C (0.6667, 0.3333, 0.1328)  6 Pt 2.28-2.32
Se (0.3333, 0.6667, 0.8304)  3 Pt 2.50
S (0.0000, 0.0000, 0.4047)  3 Pt 2.39

For the total energy, the calculation gives -26.24 eV per cell. The symmetry is No. 156.